Record 1
This record from Alexandria describes an optimized crystal structure of Ho5HfAs6. The functional is PBE-GGA.

POSCAR file:
```
Ho5HfAs6
1.0
3.506 -6.068 0.000
3.506 6.068 0.000
-2.344 0.000 6.601
Ho Hf As
5 1 6
direct
0.000 0.000 0.000 Ho
0.166 0.834 0.500 Ho
0.330 0.670 0.000 Ho
0.670 0.330 0.000 Ho
0.834 0.166 0.500 Ho
0.500 0.500 0.500 Hf
0.096 0.419 0.257 As
0.259 0.259 0.745 As
0.419 0.096 0.257 As
0.581 0.904 0.743 As
0.741 0.741 0.255 As
0.904 0.581 0.743 As
```

Properties
For the total energy, the calculation gives -6.5043 eV/atom. The space group is No. 12. As for the magnetization: 0.0 μB/f.u. For the calculated volume, the calculation gives 23.41 A^3/atom. As for the formation energy: -1.4427 eV/atom.

=====

Record 2
This record from Alexandria describes an optimized crystal structure of HoHf2As4. The functional is PBE-GGA.

POSCAR file:
```
HoHf2As4
1.0
1.923 -6.360 0.000
1.923 6.360 0.000
0.000 0.000 12.925
Ho Hf As
2 4 8
direct
0.111 0.889 0.750 Ho
0.889 0.111 0.250 Ho
0.366 0.634 0.560 Hf
0.366 0.634 0.940 Hf
0.634 0.366 0.060 Hf
0.634 0.366 0.440 Hf
0.000 0.000 0.000 As
0.000 0.000 0.500 As
0.266 0.734 0.127 As
0.266 0.734 0.373 As
0.442 0.558 0.750 As
0.558 0.442 0.250 As
0.734 0.266 0.627 As
0.734 0.266 0.873 As
```

Properties
For the total energy, the calculation gives -7.0491 eV/atom. The space group is No. 63. As for the magnetization: 0.0 μB/f.u. For the calculated volume, the calculation gives 22.59 A^3/atom. As for the formation energy: -0.8944 eV/atom.

=====

Record 3
This record from Alexandria describes an optimized crystal structure of LiHo2HfAs4. The functional is PBE-GGA.

POSCAR file:
```
LiHo2HfAs4
1.0
6.786 0.000 0.000
0.000 3.968 0.000
-2.344 0.000 6.615
Li Ho Hf As
1 2 1 4
direct
0.000 0.000 0.000 Li
0.500 0.000 0.500 Ho
0.500 0.500 0.000 Ho
0.000 0.500 0.500 Hf
0.233 0.000 0.742 As
0.234 0.500 0.251 As
0.766 0.500 0.749 As
0.767 0.000 0.258 As
```

Properties
For the total energy, the calculation gives -5.9994 eV/atom. The space group is No. 10. As for the magnetization: 0.0 μB/f.u. For the calculated volume, the calculation gives 22.27 A^3/atom. As for the formation energy: -1.0468 eV/atom.

=====

Record 4
This record from Alexandria describes an optimized crystal structure of LiHoHf2As4. The functional is PBE-GGA.

POSCAR file:
```
LiHoHf2As4
1.0
6.683 0.000 0.000
0.000 3.885 0.000
-2.213 0.000 6.583
Li Ho Hf As
1 1 2 4
direct
0.000 0.000 0.000 Li
0.500 0.500 0.000 Ho
0.000 0.500 0.500 Hf
0.500 0.000 0.500 Hf
0.239 0.000 0.738 As
0.250 0.500 0.263 As
0.750 0.500 0.737 As
0.761 0.000 0.262 As
```

Properties
For the total energy, the calculation gives -6.6521 eV/atom. The space group is No. 10. As for the magnetization: 0.0 μB/f.u. For the calculated volume, the calculation gives 21.37 A^3/atom. As for the formation energy: -1.0275 eV/atom.

=====

Record 5
This record from Alexandria describes an optimized crystal structure of Ho2HfNpAs4. The functional is PBE-GGA.

POSCAR file:
```
Ho2HfNpAs4
1.0
6.963 0.000 0.000
0.000 4.018 0.000
-2.290 0.000 6.593
Ho Hf Np As
2 1 1 4
direct
0.000 0.000 0.000 Ho
0.500 0.500 0.000 Ho
0.000 0.500 0.500 Hf
0.500 0.000 0.500 Np
0.238 0.000 0.738 As
0.243 0.500 0.256 As
0.757 0.500 0.744 As
0.762 0.000 0.262 As
```

Properties
For the total energy, the calculation gives -7.5074 eV/atom. The space group is No. 10. As for the magnetization: 4.0 μB/f.u. For the calculated volume, the calculation gives 23.05 A^3/atom. As for the formation energy: -1.1764 eV/atom.

=====

Record 6
This record from Alexandria describes an optimized crystal structure of HoHfNp2As4. The functional is PBE-GGA.

POSCAR file:
```
HoHfNp2As4
1.0
6.974 0.000 0.000
0.000 4.012 0.000
-2.310 0.000 6.604
Ho Hf Np As
1 1 2 4
direct
0.000 0.000 0.000 Ho
0.000 0.500 0.500 Hf
0.500 0.000 0.500 Np
0.500 0.500 0.000 Np
0.237 0.000 0.738 As
0.243 0.500 0.257 As
0.757 0.500 0.743 As
0.763 0.000 0.262 As
```

Properties
For the total energy, the calculation gives -8.3419 eV/atom. The space group is No. 10. As for the magnetization: 0.1 μB/f.u. For the calculated volume, the calculation gives 23.10 A^3/atom. As for the formation energy: -0.9655 eV/atom.

=====

Record 7
This record from Alexandria describes an optimized crystal structure of Ho2HfPaAs4. The functional is PBE-GGA.

POSCAR file:
```
Ho2HfPaAs4
1.0
6.937 0.000 0.000
0.000 4.027 0.000
-2.315 0.000 6.606
Ho Hf Pa As
2 1 1 4
direct
0.000 0.000 0.000 Ho
0.500 0.500 0.000 Ho
0.000 0.500 0.500 Hf
0.500 0.000 0.500 Pa
0.239 0.000 0.738 As
0.243 0.500 0.255 As
0.757 0.500 0.745 As
0.761 0.000 0.262 As
```

Properties
For the total energy, the calculation gives -7.1546 eV/atom. The space group is No. 10. As for the magnetization: 0.0 μB/f.u. For the calculated volume, the calculation gives 23.07 A^3/atom. As for the formation energy: -1.2543 eV/atom.

=====

Record 8
This record from Alexandria describes an optimized crystal structure of HoPu2HfAs4. The functional is PBE-GGA.

POSCAR file:
```
HoPu2HfAs4
1.0
6.986 0.000 0.000
0.000 4.043 0.000
-2.333 0.000 6.628
Ho Pu Hf As
1 2 1 4
direct
0.000 0.000 0.000 Ho
0.500 0.000 0.500 Pu
0.500 0.500 0.000 Pu
0.000 0.500 0.500 Hf
0.237 0.000 0.737 As
0.243 0.500 0.257 As
0.757 0.500 0.743 As
0.763 0.000 0.263 As
```

Properties
For the total energy, the calculation gives -8.8908 eV/atom. The space group is No. 10. As for the magnetization: 10.4 μB/f.u. For the calculated volume, the calculation gives 23.40 A^3/atom. As for the formation energy: -1.1666 eV/atom.

=====

- The lowest calculated volume belongs to which entry?
  LiHoHf2As4

=====

- Which of these has the lowest calculated volume?
  LiHoHf2As4

=====

- Look up the calculated volume of the second one.
  22.59 A^3/atom